(1)
The following is a DFT calculation (PBE) of a relaxed TmThCd3 crystal.

Output
DFT formation energy: -0.21 eV/atom
Raw total energy: -3.133 eV/atom
Density of states at the Fermi level: 0.819 states/eV/atom

extended XYZ file:
```
10
Lattice="1.7181 -14.9213 0.0000 1.7181 14.9213 0.0000 0.0000 0.0000 5.0111" Properties=species:S:1:pos:R:3 pbc="T T T"
Tm 1.7181 8.4690 3.7583
Tm 1.7181 -8.4690 1.2528
Th 1.7181 12.6661 1.2528
Th 1.7181 -12.6661 3.7583
Cd 1.7181 5.3249 3.7583
Cd 1.7181 3.7136 1.2528
Cd 1.7181 0.7336 1.2528
Cd 1.7181 -0.7336 3.7583
Cd 1.7181 -3.7136 3.7583
Cd 1.7181 -5.3249 1.2528
```

---

(2)
The following is a DFT calculation (PBE) of a relaxed Tm5ThCd4 crystal.

Output
DFT formation energy: -0.25 eV/atom
Raw total energy: -3.593 eV/atom
Density of states at the Fermi level: 0.799 states/eV/atom

extended XYZ file:
```
10
Lattice="3.6534 0.0000 0.0000 0.0000 3.6534 0.0000 0.0000 0.0000 19.7667" Properties=species:S:1:pos:R:3 pbc="T T T"
Tm 0.0000 0.0000 0.0000
Tm 0.0000 0.0000 3.7370
Tm 0.0000 0.0000 7.5472
Tm 0.0000 0.0000 12.2194
Tm 0.0000 0.0000 16.0296
Th 1.8267 1.8267 9.8833
Cd 1.8267 1.8267 1.8856
Cd 1.8267 1.8267 5.6377
Cd 1.8267 1.8267 14.1289
Cd 1.8267 1.8267 17.8811
```

---

(3)
The following is a DFT calculation (PBE) of a relaxed Tm2ThCd crystal.

Output
DFT formation energy: -0.03 eV/atom
Raw total energy: -4.350 eV/atom
Polymorph energy (0 for the lowest one): 0.129 eV/atom
Density of states at the Fermi level: 1.468 states/eV/atom

extended XYZ file:
```
4
Lattice="4.8500 0.0000 0.0000 0.0000 4.8500 0.0000 0.0000 0.0000 4.8333" Properties=species:S:1:pos:R:3 pbc="T T T"
Tm 0.0000 2.4250 0.0000
Tm 2.4250 0.0000 0.0000
Th 0.0000 0.0000 2.4166
Cd 2.4250 2.4250 2.4166
```